The following is a DFT calculation (GGA-PBE) of an optimized crystal structure of Tb2F5.

a = 4.9942 Å, b = 6.5290 Å, c = 6.6625 Å
α = 100.97°, β = 112.01°, γ = 90.00°
Last column: magnetic moment on the atom in μB.
Fractional coordinates of all 14 atoms:
Tb 0.1761 0.4004 0.7844  0.33
Tb 0.3917 0.0996 0.2156  0.33
Tb 0.8239 0.5996 0.2156  0.33
Tb 0.6083 0.9004 0.7844  0.33
F 0.1930 0.4161 0.1543  0.01
F 0.0386 0.0839 0.8457  0.01
F 0.2198 0.6460 0.5729  0.01
F 0.6470 0.8540 0.4271  0.01
F 0.7802 0.3540 0.4271  0.01
F 0.3530 0.1460 0.5729  0.01
F 0.9614 0.9161 0.1543  0.01
F 0.8070 0.5839 0.8457  0.01
F 0.6030 0.2500 0.0000  0.02
F 0.3970 0.7500 0.0000  0.02

Values from the calculation:
E_form (uncorrected) = -3.714 eV/atom
Raw total energy = -6.37 eV per atom